Material: MnTlAsF6
Method: DFT, GGA+U
State: optimized geometry

a = 5.7415 Å, b = 5.7410 Å, c = 5.9307 Å
α = 90.01°, β = 89.99°, γ = 59.90°
Last column: nearest neighbours and their distance in Å.
Sites, in units of the cell vectors:
F 0.0108 0.3760 0.3087  1 As 2.08, 1 Mn 2.16
F 0.0091 0.6138 0.6917  1 As 2.08, 1 Mn 2.16
F 0.3771 0.6136 0.3079  1 As 2.09, 1 Mn 2.16
F 0.3759 0.0107 0.6913  1 As 2.08, 1 Mn 2.16
F 0.6134 0.0095 0.3084  1 As 2.08, 1 Mn 2.16
F 0.6139 0.3769 0.6921  1 As 2.09, 1 Mn 2.16
Tl 0.9998 0.9998 0.9999  6 F 2.85-2.86
As 0.3333 0.3334 0.5000  6 F 2.08-2.09
Mn 0.6664 0.6663 0.5000  6 F 2.16

Properties
Total energy (eV for the cell shown): -45.6